Record 1
Density functional theory data (GGA-PBE) for a relaxed Cs2CdCuCl6 crystal.

Formation energy (no corrections) (kJ/mol of atoms): -124

Cell lengths 7.6090, 7.6090, 7.6090 Å; angles 122.85, 122.85, 85.13 degrees
Sites, in units of the cell vectors:
Cs: 0.2500 0.7500 0.5000
Cs: 0.7500 0.2500 0.5000
Cd: 0.0000 0.0000 0.0000
Cu: 0.5000 0.5000 0.0000
Cl: 0.2185 0.2185 0.0000
Cl: 0.2757 0.2757 0.5513
Cl: 0.2757 0.7243 0.0000
Cl: 0.7243 0.2757 0.0000
Cl: 0.7243 0.7243 0.4487
Cl: 0.7815 0.7815 0.0000

Record 2
Density functional theory data (GGA-PBE) for a relaxed AlSi2Te crystal.

Formation energy (no corrections) (kJ/mol of atoms): 54

Cell lengths 9.4411, 9.4411, 9.4411 Å; angles 19.08, 19.08, 19.08 degrees
Sites, in units of the cell vectors:
Al: 0.0000 0.0000 0.0000
Si: 0.2635 0.2635 0.2635
Si: 0.7365 0.7365 0.7365
Te: 0.5000 0.5000 0.5000

Record 3
Density functional theory data (GGA-PBE) for a relaxed Ce4Hg crystal.

E_form (meV/atom): 568

Cell lengths 5.8379, 5.8379, 5.8379 Å; angles 90.00, 90.00, 90.00 degrees
Sites, in units of the cell vectors:
Ce: 0.0000 0.0000 0.0000
Ce: 0.0000 0.5000 0.5000
Ce: 0.5000 0.0000 0.5000
Ce: 0.5000 0.5000 0.0000
Hg: 0.5000 0.5000 0.5000

Record 4
Density functional theory data (GGA-PBE) for a relaxed EuEr2Cd crystal.

E_form (meV/atom): -30

Cell lengths 4.9160, 4.9160, 4.8544 Å; angles 90.00, 90.00, 90.00 degrees
Sites, in units of the cell vectors:
Eu: 0.0000 0.0000 0.0000
Er: 0.0000 0.5000 0.5000
Er: 0.5000 0.0000 0.5000
Cd: 0.5000 0.5000 0.0000

Record 5
Density functional theory data (GGA-PBE) for a relaxed KAu crystal.

E_form (meV/atom): -290

Cell lengths 7.8860, 7.8860, 7.7596 Å; angles 90.00, 90.00, 146.32 degrees
Sites, in units of the cell vectors:
K: 0.0384 0.9616 0.7500
K: 0.2340 0.7660 0.2500
K: 0.7660 0.2340 0.7500
K: 0.9616 0.0384 0.2500
Au: 0.4026 0.5974 0.5577
Au: 0.4026 0.5974 0.9423
Au: 0.5974 0.4026 0.0577
Au: 0.5974 0.4026 0.4423

Record 6
Density functional theory data (GGA-PBE) for a relaxed AlNiSN2 crystal.

Formation energy (no corrections) (kJ/mol of atoms): 83

Cell lengths 3.5982, 3.5982, 5.2609 Å; angles 90.00, 90.00, 90.00 degrees
Sites, in units of the cell vectors:
Al: 0.0000 0.0000 0.0000
Ni: 0.5000 0.5000 0.5000
S: 0.0000 0.0000 0.5000
N: 0.0000 0.5000 0.0000
N: 0.5000 0.0000 0.0000

Record 7
Density functional theory data (GGA-PBE) for a relaxed Sr2TmOsO6 crystal.

Formation energy (no corrections) (kJ/mol of atoms): -242

Cell lengths 5.7975, 5.8392, 10.0331 Å; angles 90.00, 125.04, 90.00 degrees
Sites, in units of the cell vectors:
Sr: 0.2423 0.0321 0.2494
Sr: 0.2423 0.4679 0.7494
Sr: 0.7577 0.5321 0.2506
Sr: 0.7577 0.9679 0.7506
Tm: 0.5000 0.0000 0.0000
Tm: 0.5000 0.5000 0.5000
Os: 0.0000 0.0000 0.5000
Os: 0.0000 0.5000 0.0000
O: 0.1640 0.2285 0.9621
O: 0.1640 0.2715 0.4621
O: 0.2338 0.7043 0.9636
O: 0.2338 0.7957 0.4636
O: 0.3069 0.0169 0.7367
O: 0.3069 0.4831 0.2367
O: 0.6931 0.5169 0.7633
O: 0.6931 0.9831 0.2633
O: 0.7662 0.2043 0.5364
O: 0.7662 0.2957 0.0364
O: 0.8360 0.7285 0.5379
O: 0.8360 0.7715 0.0379

Record 8
Density functional theory data (GGA-PBE) for a relaxed ScFe4Pd crystal.

E_form (meV/atom): -166

Cell lengths 4.8808, 4.8808, 4.8808 Å; angles 60.00, 60.00, 60.00 degrees
Sites, in units of the cell vectors:
Sc: 0.0000 0.0000 0.0000
Fe: 0.1235 0.6255 0.6255
Fe: 0.6255 0.1235 0.6255
Fe: 0.6255 0.6255 0.1235
Fe: 0.6255 0.6255 0.6255
Pd: 0.2500 0.2500 0.2500

Record 9
Density functional theory data (GGA-PBE) for a relaxed Nd4Y5Er4 crystal.

E_form (meV/atom): 21

Cell lengths 9.4954, 9.4954, 9.4954 Å; angles 94.08, 94.08, 149.08 degrees
Sites, in units of the cell vectors:
Nd: 0.0778 0.3822 0.4599
Nd: 0.3822 0.9222 0.3044
Nd: 0.6178 0.0778 0.6956
Nd: 0.9222 0.6178 0.5401
Y: 0.0000 0.0000 0.0000
Y: 0.3094 0.5392 0.8486
Y: 0.4608 0.3094 0.7703
Y: 0.5392 0.6906 0.2297
Y: 0.6906 0.4608 0.1514
Er: 0.1542 0.7697 0.9239
Er: 0.2303 0.1542 0.3844
Er: 0.7697 0.8458 0.6156
Er: 0.8458 0.2303 0.0761

Record 10
Density functional theory data (GGA-PBE) for a relaxed LaPm6Tm crystal.

E_form (meV/atom): 22

Cell lengths 5.1513, 5.1513, 10.3105 Å; angles 90.00, 90.00, 90.00 degrees
Sites, in units of the cell vectors:
La: 0.0000 0.0000 0.0000
Pm: 0.0000 0.5000 0.2548
Pm: 0.0000 0.5000 0.7452
Pm: 0.5000 0.0000 0.2548
Pm: 0.5000 0.0000 0.7452
Pm: 0.5000 0.5000 0.0000
Pm: 0.5000 0.5000 0.5000
Tm: 0.0000 0.0000 0.5000

Record 11
Density functional theory data (GGA-PBE) for a relaxed K2RbCu2F7 crystal.

Formation energy (no corrections) (kJ/mol of atoms): -212

Cell lengths 11.0515, 11.0515, 11.0515 Å; angles 158.47, 158.47, 30.63 degrees
Sites, in units of the cell vectors:
K: 0.1846 0.1846 0.0000
K: 0.8154 0.8154 0.0000
Rb: 0.0000 0.0000 0.0000
Cu: 0.4027 0.4027 0.0000
Cu: 0.5973 0.5973 0.0000
F: 0.0977 0.5977 0.5000
F: 0.3085 0.3085 0.0000
F: 0.4023 0.9023 0.5000
F: 0.5000 0.5000 0.0000
F: 0.5977 0.0977 0.5000
F: 0.6915 0.6915 0.0000
F: 0.9023 0.4023 0.5000

Record 12
Density functional theory data (GGA-PBE) for a relaxed Sr2TlFe crystal.

E_form (meV/atom): 347

Cell lengths 8.2643, 8.2643, 8.2643 Å; angles 95.51, 95.51, 143.89 degrees
Sites, in units of the cell vectors:
Sr: 0.3750 0.0454 0.1704
Sr: 0.7954 0.6250 0.6704
Sr: 0.8750 0.2046 0.8296
Sr: 0.9546 0.1250 0.3296
Tl: 0.2500 0.7500 0.5000
Tl: 0.5000 0.5000 0.0000
Fe: 0.0000 0.0000 0.0000
Fe: 0.7500 0.2500 0.5000

Number 1: final energy -3.065 eV/atom. Number 2: final energy -3.872 eV/atom. Number 3: final energy -4.240 eV/atom. Number 4: final energy -5.109 eV/atom. Number 5: final energy -2.477 eV/atom. Number 6: final energy -5.204 eV/atom. Number 7: final energy -7.385 eV/atom. Number 8: final energy -7.728 eV/atom. Number 9: final energy -5.336 eV/atom. Number 10: final energy -4.716 eV/atom. Number 11: final energy -4.239 eV/atom. Number 12: final energy -3.201 eV/atom.